Record 1
Ac2BeInPd6: relaxed, GGA-PBE.

Output
D(E_F), states/eV/f.u.: 3.303
Crystal system: triclinic
SG: P-1, No. 2
M_tot, μB per cell: 0.000
Total DFT energy (no corrections), eV/atom: -5.25

Structure (POSCAR):
```
Ac2BeInPd6
1.0
6.0456 0.0000 0.0000
3.0172 5.2392 0.0000
3.0015 1.7154 6.7141
Ac Be In Pd
2 1 1 6
direct
0.2406 0.2431 0.2772
0.7594 0.7569 0.7228
0.0000 0.0000 0.0000
0.5000 0.5000 0.5000
0.2343 0.7069 0.8227
0.2352 0.2324 0.8180
0.2897 0.7677 0.1793
0.7103 0.2323 0.8207
0.7648 0.7676 0.1820
0.7657 0.2931 0.1773
```

---

Record 2
Sm5YTl8: relaxed, GGA-PBE.

Output
D(E_F), states/eV/f.u.: 12.956
Crystal system: tetragonal
SG: I-4, No. 82
M_tot, μB per cell: 0.000
Total DFT energy (no corrections), eV/atom: -3.78

Structure (POSCAR):
```
Sm5YTl8
1.0
-4.7163 4.7163 4.6714
4.7163 -4.7163 4.6714
4.7163 4.7163 -4.6714
Sm Y Tl
5 1 8
direct
0.0000 0.0000 0.0000
0.1268 0.4961 0.8751
0.5039 0.3790 0.6307
0.6210 0.2517 0.1249
0.7483 0.8732 0.3693
0.2500 0.7500 0.5000
0.0401 0.2935 0.4123
0.2068 0.1184 0.7434
0.3722 0.9599 0.2534
0.3751 0.4634 0.2566
0.5366 0.7932 0.9116
0.7065 0.1188 0.7466
0.8812 0.6278 0.5877
0.8816 0.6249 0.0884
```

---

Record 3
Ba2OsPt: relaxed, GGA-PBE.

Output
D(E_F), states/eV/f.u.: 4.981
Crystal system: orthorhombic
SG: Cmmm, No. 65
M_tot, μB per cell: 1.329
Total DFT energy (no corrections), eV/atom: -4.79

Structure (POSCAR):
```
Ba2OsPt
1.0
3.6039 -4.1381 0.0000
3.6039 4.1381 0.0000
0.0000 0.0000 3.7512
Ba Os Pt
2 1 1
direct
0.0000 0.5000 0.0000
0.5000 0.0000 0.0000
0.0000 0.0000 0.5000
0.5000 0.5000 0.5000
```

---

What did the second record say?
Sm5YTl8: relaxed, GGA-PBE.

Output
D(E_F), states/eV/f.u.: 12.956
Crystal system: tetragonal
SG: I-4, No. 82
M_tot, μB per cell: 0.000
Total DFT energy (no corrections), eV/atom: -3.78

Structure (POSCAR):
```
Sm5YTl8
1.0
-4.7163 4.7163 4.6714
4.7163 -4.7163 4.6714
4.7163 4.7163 -4.6714
Sm Y Tl
5 1 8
direct
0.0000 0.0000 0.0000
0.1268 0.4961 0.8751
0.5039 0.3790 0.6307
0.6210 0.2517 0.1249
0.7483 0.8732 0.3693
0.2500 0.7500 0.5000
0.0401 0.2935 0.4123
0.2068 0.1184 0.7434
0.3722 0.9599 0.2534
0.3751 0.4634 0.2566
0.5366 0.7932 0.9116
0.7065 0.1188 0.7466
0.8812 0.6278 0.5877
0.8816 0.6249 0.0884
```